Record 1
The following is a DFT calculation (PBE-GGA) of a geometry-optimized Be3FeSb structure.

Cell and atoms, written as extended XYZ:
```
5
Lattice="-3.149 -2.146 1.477 -0.029 -2.289 -3.386 2.605 -2.619 1.748" Properties=species:S:1:pos:R:3 pbc="T T T"
Be 1.303 -1.310 0.874
Be -0.014 -1.144 -1.693
Be -1.575 -1.073 0.739
Fe 0.000 0.000 0.000
Sb -0.286 -3.527 -0.080
```

Energy relative to the lowest polymorph listed for this composition ... 0 meV/atom
ΔE_f (raw) ... 682 meV/atom
Total DFT energy (no corrections) ... -4.071 eV per atom

Record 2
The following is a DFT calculation (PBE-GGA) of a geometry-optimized Ta2ZnSe structure.

Cell and atoms, written as extended XYZ:
```
4
Lattice="-3.145 -0.707 0.683 -0.775 -1.018 -4.624 1.095 -4.164 0.733" Properties=species:S:1:pos:R:3 pbc="T T T"
Ta -1.960 -0.862 -1.971
Ta 0.000 0.000 0.000
Zn -1.025 -2.435 0.708
Se 0.160 -2.591 -1.946
```

Energy relative to the lowest polymorph listed for this composition ... 177 meV/atom
ΔE_f (raw) ... 146 meV/atom
Total DFT energy (no corrections) ... -6.970 eV per atom

Record 3
The following is a DFT calculation (PBE-GGA) of a geometry-optimized AcPrO3 structure.

Cell and atoms, written as extended XYZ:
```
10
Lattice="4.145 0.000 0.000 0.000 5.400 -2.755 0.000 -0.440 9.816" Properties=species:S:1:pos:R:3 pbc="T T T"
Ac 1.036 2.152 2.676
Ac 3.109 0.303 5.663
Pr 1.036 3.555 6.182
Pr 3.109 4.300 -0.598
O 1.036 4.420 4.037
O 3.109 0.891 3.236
O 1.036 1.563 5.103
O 3.109 3.435 1.547
O 3.109 2.777 6.989
O 1.036 5.078 -1.405
```

ΔE_f (raw) ... -3265 meV/atom
Total DFT energy (no corrections) ... -8.018 eV per atom

Record 4
The following is a DFT calculation (PBE-GGA) of a geometry-optimized Fe2I6Cl structure.

Cell and atoms, written as extended XYZ:
```
18
Lattice="-6.829 -8.331 -0.458 8.184 -0.333 -7.011 3.877 -0.667 8.068" Properties=species:S:1:pos:R:3 pbc="T T T"
I 7.821 -0.717 -2.219
I -1.646 -7.126 6.794
I -1.251 -4.468 -1.911
I -2.589 -8.614 2.818
I 2.787 -7.611 3.395
I 4.482 -2.780 0.467
I 2.445 -1.720 -2.795
I 6.878 -2.205 -6.195
I 0.750 -6.551 0.132
I 6.483 -4.863 2.510
I 4.578 -5.291 -2.267
I 0.654 -4.040 2.867
Fe -0.136 -6.819 -2.345
Fe -0.294 -4.162 0.536
Fe 5.369 -2.512 2.944
Fe 5.526 -5.169 0.064
Cl -4.039 -7.527 0.764
Cl 9.271 -1.804 -0.165
```

ΔE_f (raw) ... 28 meV/atom
Total DFT energy (no corrections) ... -3.091 eV per atom